(1)
Density functional theory data (PBE-GGA) for a geometry-optimized RbTlCdAu structure.

Summary:
DFT total energy = -0.138 Ry/atom
ΔE_f = 0.011 eV per atom
offset from the most stable computed form = 178 meV per atom
spin magnetization = 0.0 μB per formula unit

a = 5.6112 Å, b = 5.6112 Å, c = 5.6112 Å
α = 60.00°, β = 60.00°, γ = 60.00°
With the nearest neighbours (Å) after each atom.
Sites, in units of the cell vectors:
Tl  0.5000  0.5000  0.5000  4 Au 3.44, 4 Cd 3.44
Au  0.2500  0.2500  0.2500  4 Tl 3.44, 4 Rb 3.44
Rb  0.0000  0.0000  0.0000  4 Au 3.44, 4 Cd 3.44
Cd  0.7500  0.7500  0.7500  4 Tl 3.44, 4 Rb 3.44

(2)
Density functional theory data (PBE-GGA) for a geometry-optimized RbTlCdAu structure.

Summary:
DFT total energy = -0.151 Ry/atom
ΔE_f = -0.167 eV per atom
offset from the most stable computed form = 0 meV per atom
spin magnetization = 0.0 μB per formula unit

a = 4.9431 Å, b = 4.9431 Å, c = 7.0199 Å
α = 69.39°, β = 69.39°, γ = 60.00°
With the nearest neighbours (Å) after each atom.
Sites, in units of the cell vectors:
Rb  0.8134  0.8134  0.5597  4 Au 3.77-3.89, 4 Tl 3.83-3.86, 3 Cd 3.85
Tl  0.0139  0.0139  0.9584  3 Au 3.10, 3 Cd 3.12
Cd  0.2811  0.2811  0.1568  3 Au 2.85, 3 Tl 3.12
Au  0.6175  0.6175  0.1474  3 Cd 2.85, 3 Tl 3.10

(3)
Density functional theory data (PBE-GGA) for a geometry-optimized RbTlCdAu2 structure.

Summary:
DFT total energy = -0.173 Ry/atom
ΔE_f = -0.199 eV per atom
spin magnetization = 0.0 μB per formula unit

a = 4.8490 Å, b = 4.8490 Å, c = 7.0348 Å
α = 110.16°, β = 110.16°, γ = 90.00°
With the nearest neighbours (Å) after each atom.
Sites, in units of the cell vectors:
Rb  0.0000  0.0000  0.0000  8 Au 3.70, 4 Cd 3.91, 4 Tl 3.91
Tl  0.7500  0.2500  0.5000  4 Au 2.95
Cd  0.2500  0.7500  0.5000  4 Au 2.95
Au  0.6127  0.6127  0.2254  1 Au 2.77, 2 Cd 2.95, 2 Tl 2.95
Au  0.3873  0.3873  0.7746  1 Au 2.77, 2 Cd 2.95, 2 Tl 2.95

(4)
Density functional theory data (PBE-GGA) for a geometry-optimized RbTlCd2Au structure.

Summary:
DFT total energy = -0.134 Ry/atom
ΔE_f = -0.132 eV per atom
offset from the most stable computed form = 0 meV per atom
spin magnetization = 0.0 μB per formula unit

a = 4.9127 Å, b = 4.9773 Å, c = 7.1786 Å
α = 110.28°, β = 110.01°, γ = 90.00°
With the nearest neighbours (Å) after each atom.
Sites, in units of the cell vectors:
Rb  0.4379  0.4379  0.8758  4 Au 3.76, 8 Cd 3.77-4.14, 4 Tl 3.92-4.06
Tl  0.1961  0.6961  0.3922  2 Au 2.95, 2 Cd 3.09
Cd  0.7016  0.2016  0.4031  2 Au 2.94, 2 Cd 3.11
Cd  0.0496  0.0496  0.0992  1 Au 2.79, 2 Tl 3.09, 2 Cd 3.11
Au  0.8269  0.8269  0.6539  3 Cd 2.79-2.94, 2 Tl 2.95

(5)
Density functional theory data (PBE-GGA) for a geometry-optimized Rb2TlCd6Au structure.

Summary:
DFT total energy = -0.104 Ry/atom
ΔE_f = -0.104 eV per atom
spin magnetization = 0.0 μB per formula unit

a = 7.7495 Å, b = 7.5860 Å, c = 7.8247 Å
α = 60.19°, β = 58.54°, γ = 89.63°
With the nearest neighbours (Å) after each atom.
Sites, in units of the cell vectors:
Rb  0.6789  0.3190  0.3628  1 Au 3.47
Rb  0.3211  0.6810  0.6372  1 Au 3.47
Tl  0.0000  0.0000  0.0000  6 Cd 3.15-3.17
Cd  0.1176  0.1795  0.4757  1 Au 2.85, 5 Cd 3.01-3.09, 1 Tl 3.17
Cd  0.6569  0.8831  0.9337  1 Au 2.84, 5 Cd 3.03-3.07, 1 Tl 3.17
Cd  0.1809  0.6550  0.2275  1 Au 2.85, 5 Cd 3.01-3.09, 1 Tl 3.15
Cd  0.8190  0.3450  0.7725  1 Au 2.85, 5 Cd 3.01-3.09, 1 Tl 3.15
Cd  0.3431  0.1169  0.0663  1 Au 2.84, 5 Cd 3.03-3.07, 1 Tl 3.17
Cd  0.8824  0.8205  0.5243  1 Au 2.85, 5 Cd 3.01-3.09, 1 Tl 3.17
Au  0.5000  0.5000  0.0000  6 Cd 2.84-2.85

(6)
Density functional theory data (PBE-GGA) for a geometry-optimized Rb2Tl6CdAu structure.

Summary:
DFT total energy = -0.151 Ry/atom
ΔE_f = -0.021 eV per atom
spin magnetization = 0.0 μB per formula unit

a = 7.5401 Å, b = 7.5401 Å, c = 15.4324 Å
α = 75.86°, β = 75.86°, γ = 60.00°
With the nearest neighbours (Å) after each atom.
Sites, in units of the cell vectors:
Rb  0.8558  0.8558  0.4324  12 Tl 3.86-3.98
Rb  0.1442  0.1442  0.5676  12 Tl 3.86-3.98
Rb  0.7021  0.7021  0.8938  1 Au 3.25
Rb  0.2979  0.2979  0.1062  1 Au 3.25
Tl  0.9064  0.3737  0.3462  4 Tl 3.22-3.52, 1 Cd 3.25
Tl  0.3737  0.9064  0.3462  4 Tl 3.22-3.52, 1 Cd 3.25
Tl  0.3737  0.3737  0.3462  4 Tl 3.22-3.52, 1 Cd 3.25
Tl  0.0936  0.6263  0.6538  4 Tl 3.22-3.52, 1 Cd 3.25
Tl  0.6263  0.0936  0.6538  4 Tl 3.22-3.52, 1 Cd 3.25
Tl  0.6263  0.6263  0.6538  4 Tl 3.22-3.52, 1 Cd 3.25
Tl  0.7799  0.2109  0.7982  1 Au 2.80
Tl  0.2109  0.7799  0.7982  1 Au 2.80
Tl  0.2109  0.2109  0.7982  1 Au 2.80
Tl  0.2201  0.7891  0.2018  1 Au 2.80
Tl  0.7891  0.2201  0.2018  1 Au 2.80
Tl  0.7891  0.7891  0.2018  1 Au 2.80
Cd  0.0000  0.0000  0.0000  6 Tl 3.53
Cd  0.5000  0.5000  0.5000  6 Tl 3.25
Au  0.6290  0.6290  0.1131  3 Tl 2.80
Au  0.3710  0.3710  0.8869  3 Tl 2.80

(7)
Density functional theory data (PBE-GGA) for a geometry-optimized Rb2ZnCd6Au structure.

Summary:
DFT total energy = -0.094 Ry/atom
ΔE_f = -0.076 eV per atom
spin magnetization = 0.0 μB per formula unit

a = 7.6739 Å, b = 7.5278 Å, c = 7.6186 Å
α = 60.76°, β = 58.96°, γ = 90.09°
With the nearest neighbours (Å) after each atom.
Sites, in units of the cell vectors:
Rb  0.7004  0.2991  0.4000  1 Au 3.78, 12 Cd 3.83-4.12
Rb  0.2996  0.7009  0.6000  1 Au 3.78, 12 Cd 3.83-4.12
Zn  0.0000  0.0000  0.0000  6 Cd 2.79-2.82
Cd  0.1520  0.2526  0.5010  1 Au 2.77, 1 Zn 2.79, 2 Cd 3.01-3.04
Cd  0.7505  0.8501  0.8991  1 Au 2.78, 1 Zn 2.81, 2 Cd 3.02-3.04
Cd  0.2500  0.7494  0.1003  1 Au 2.77, 1 Zn 2.82, 2 Cd 3.01-3.02
Cd  0.7500  0.2506  0.8997  1 Au 2.77, 1 Zn 2.82, 2 Cd 3.01-3.02
Cd  0.2495  0.1499  0.1009  1 Au 2.78, 1 Zn 2.81, 2 Cd 3.02-3.04
Cd  0.8480  0.7473  0.4990  1 Au 2.77, 1 Zn 2.79, 2 Cd 3.01-3.04
Au  0.5000  0.5000  0.0000  6 Cd 2.77-2.78

(8)
Density functional theory data (PBE-GGA) for a geometry-optimized RbZn2CdAu structure.

Summary:
DFT total energy = -0.118 Ry/atom
ΔE_f = -0.059 eV per atom
spin magnetization = 0.0 μB per formula unit

a = 5.0852 Å, b = 5.0852 Å, c = 5.4106 Å
α = 90.00°, β = 90.00°, γ = 90.00°
With the nearest neighbours (Å) after each atom.
Sites, in units of the cell vectors:
Zn  0.0000  0.5000  0.0000  2 Au 2.54
Zn  0.5000  0.0000  0.0000  2 Au 2.54
Au  0.0000  0.0000  0.0000  4 Zn 2.54, 2 Cd 2.71
Rb  0.5000  0.5000  0.5000  4 Cd 3.60, 8 Zn 3.71
Cd  0.0000  0.0000  0.5000  2 Au 2.71

(9)
Density functional theory data (PBE-GGA) for a geometry-optimized Rb2ZnCd3Au4 structure.

Summary:
DFT total energy = -0.155 Ry/atom
ΔE_f = -0.204 eV per atom
spin magnetization = 0.0 μB per formula unit

a = 4.9968 Å, b = 4.9968 Å, c = 10.8114 Å
α = 90.00°, β = 90.00°, γ = 90.00°
With the nearest neighbours (Å) after each atom.
Sites, in units of the cell vectors:
Rb  0.5000  0.0000  0.2475  9 Au 3.66-3.94, 7 Cd 3.70-4.06, 2 Zn 3.70
Rb  0.0000  0.5000  0.7525  9 Au 3.66-3.94, 7 Cd 3.70-4.06, 2 Zn 3.70
Zn  0.5000  0.5000  0.5000  4 Au 2.78
Cd  0.0000  0.0000  0.5000  4 Au 2.78
Cd  0.5000  0.0000  0.8717  5 Au 2.81-2.86
Cd  0.0000  0.5000  0.1283  5 Au 2.81-2.86
Au  0.5000  0.5000  0.0000  4 Cd 2.86
Au  0.0000  0.0000  0.0000  4 Cd 2.86
Au  0.5000  0.0000  0.6120  2 Zn 2.78, 3 Cd 2.78-2.81
Au  0.0000  0.5000  0.3880  2 Zn 2.78, 3 Cd 2.78-2.81

(10)
Density functional theory data (PBE-GGA) for a geometry-optimized RbZnCdAu2 structure.

Summary:
DFT total energy = -0.157 Ry/atom
ΔE_f = -0.195 eV per atom
offset from the most stable computed form = 0 meV per atom
spin magnetization = 0.0 μB per formula unit

a = 4.7576 Å, b = 4.7576 Å, c = 6.6578 Å
α = 110.93°, β = 110.93°, γ = 90.00°
With the nearest neighbours (Å) after each atom.
Sites, in units of the cell vectors:
Rb  0.0000  0.0000  0.0000  8 Au 3.65, 4 Cd 3.73, 4 Zn 3.73
Zn  0.7500  0.2500  0.5000  4 Au 2.80
Cd  0.2500  0.7500  0.5000  4 Au 2.80
Au  0.6223  0.6223  0.2446  2 Cd 2.80, 2 Zn 2.80, 1 Au 2.81
Au  0.3777  0.3777  0.7554  2 Cd 2.80, 2 Zn 2.80, 1 Au 2.81

(11)
Density functional theory data (PBE-GGA) for a geometry-optimized RbZnCdAu2 structure.

Summary:
DFT total energy = -0.147 Ry/atom
ΔE_f = -0.063 eV per atom
offset from the most stable computed form = 132 meV per atom
spin magnetization = 0.0 μB per formula unit

a = 5.1700 Å, b = 5.1700 Å, c = 5.1873 Å
α = 90.00°, β = 90.00°, γ = 90.00°
With the nearest neighbours (Å) after each atom.
Sites, in units of the cell vectors:
Zn  0.0000  0.0000  0.0000  4 Au 2.58, 2 Cd 2.59
Au  0.0000  0.5000  0.0000  2 Zn 2.58
Au  0.5000  0.0000  0.0000  2 Zn 2.58
Rb  0.5000  0.5000  0.5000  4 Cd 3.66, 8 Au 3.66
Cd  0.0000  0.0000  0.5000  2 Zn 2.59

(12)
Density functional theory data (PBE-GGA) for a geometry-optimized Rb2ZnCd4Au3 structure.

Summary:
DFT total energy = -0.135 Ry/atom
ΔE_f = -0.162 eV per atom
spin magnetization = 0.0 μB per formula unit

a = 5.0143 Å, b = 5.0143 Å, c = 11.1254 Å
α = 90.00°, β = 90.00°, γ = 90.00°
With the nearest neighbours (Å) after each atom.
Sites, in units of the cell vectors:
Rb  0.5000  0.0000  0.2539  2 Zn 3.71, 6 Au 3.71-3.82, 9 Cd 3.78-4.09
Rb  0.0000  0.5000  0.7461  2 Zn 3.71, 6 Au 3.71-3.82, 9 Cd 3.78-4.09
Zn  0.5000  0.5000  0.5000  4 Cd 2.85
Cd  0.5000  0.5000  0.0000  4 Au 2.87
Cd  0.0000  0.0000  0.0000  4 Au 2.87
Cd  0.5000  0.0000  0.6220  3 Au 2.80-2.85, 2 Zn 2.85
Cd  0.0000  0.5000  0.3780  3 Au 2.80-2.85, 2 Zn 2.85
Au  0.0000  0.0000  0.5000  4 Cd 2.85
Au  0.5000  0.0000  0.8740  5 Cd 2.80-2.87
Au  0.0000  0.5000  0.1260  5 Cd 2.80-2.87

(13)
Density functional theory data (PBE-GGA) for a geometry-optimized RbZn2Cd2Au2 structure.

Summary:
DFT total energy = -0.136 Ry/atom
ΔE_f = -0.157 eV per atom
spin magnetization = 0.0 μB per formula unit

a = 4.6489 Å, b = 4.6489 Å, c = 9.7934 Å
α = 76.27°, β = 76.27°, γ = 60.00°
With the nearest neighbours (Å) after each atom.
Sites, in units of the cell vectors:
Rb  0.0000  0.0000  0.0000  2 Cd 3.76, 6 Zn 3.83, 6 Au 3.83
Zn  0.7632  0.7632  0.7103  3 Au 2.68, 4 Cd 2.87-2.93
Zn  0.2368  0.2368  0.2897  3 Au 2.68, 4 Cd 2.87-2.93
Cd  0.1330  0.1330  0.6011  3 Au 2.87, 4 Zn 2.87-2.93
Cd  0.8670  0.8670  0.3989  3 Au 2.87, 4 Zn 2.87-2.93
Au  0.5698  0.5698  0.2905  3 Zn 2.68, 3 Cd 2.87
Au  0.4302  0.4302  0.7095  3 Zn 2.68, 3 Cd 2.87

(14)
Density functional theory data (PBE-GGA) for a geometry-optimized RbZrCd2Au structure.

Summary:
DFT total energy = -0.190 Ry/atom
ΔE_f = 0.343 eV per atom
spin magnetization = 1.9 μB per formula unit

a = 5.4583 Å, b = 5.3966 Å, c = 5.4583 Å
α = 90.00°, β = 90.00°, γ = 90.00°
With the nearest neighbours (Å) after each atom.
Sites, in units of the cell vectors:
Au  0.0000  0.0000  0.0000  2 Zr 2.70, 4 Cd 2.73
Rb  0.5000  0.5000  0.5000  8 Cd 3.84, 4 Zr 3.86
Zr  0.0000  0.5000  0.0000  2 Au 2.70
Cd  0.0000  0.0000  0.5000  2 Au 2.73
Cd  0.5000  0.0000  0.0000  2 Au 2.73

(15)
Density functional theory data (PBE-GGA) for a geometry-optimized CdReAu2 structure.

Summary:
DFT total energy = -0.342 Ry/atom
ΔE_f = 0.325 eV per atom
spin magnetization = 0.0 μB per formula unit

a = 2.8598 Å, b = 2.8598 Å, c = 8.5545 Å
α = 90.00°, β = 90.00°, γ = 89.96°
With the nearest neighbours (Å) after each atom.
Sites, in units of the cell vectors:
Re  0.5000  0.5000  0.7500  8 Au 2.86, 4 Re 2.86
Au  0.0000  0.0000  0.9861  4 Re 2.86, 4 Au 2.86, 4 Cd 3.03
Au  0.0000  0.0000  0.5139  4 Re 2.86, 4 Au 2.86, 4 Cd 3.03
Cd  0.5000  0.5000  0.2500  4 Cd 2.86, 8 Au 3.03

(16)
Density functional theory data (PBE-GGA) for a geometry-optimized CdReAu2 structure.

Summary:
DFT total energy = -0.333 Ry/atom
ΔE_f = 0.447 eV per atom
spin magnetization = 0.5 μB per formula unit

a = 5.8485 Å, b = 5.8485 Å, c = 5.8485 Å
α = 152.36°, β = 128.96°, γ = 59.03°
With the nearest neighbours (Å) after each atom.
Sites, in units of the cell vectors:
Re  0.2444  0.7444  0.5000  6 Au 2.78-2.88, 2 Re 2.79, 2 Cd 2.91
Au  0.0083  0.0083  0.0000  2 Re 2.78, 4 Au 2.79-2.96, 4 Cd 2.88
Au  0.7524  0.2524  0.5000  4 Au 2.79-2.96, 4 Re 2.88, 2 Cd 2.97
Cd  0.4949  0.4949  0.0000  2 Cd 2.79, 6 Au 2.88-2.97, 2 Re 2.91

(17)
Density functional theory data (PBE-GGA) for a geometry-optimized CdReAu2 structure.

Summary:
DFT total energy = -0.328 Ry/atom
ΔE_f = 0.514 eV per atom
spin magnetization = 0.5 μB per formula unit

a = 5.9516 Å, b = 5.9516 Å, c = 5.9516 Å
α = 153.11°, β = 128.98°, γ = 58.60°
With the nearest neighbours (Å) after each atom.
Sites, in units of the cell vectors:
Re  0.2500  0.7500  0.5000  2 Re 2.77, 4 Au 2.79, 4 Cd 2.91
Au  0.0171  0.0171  0.0000  6 Au 2.77-2.93, 2 Re 2.79, 2 Cd 3.10
Au  0.4829  0.4829  0.0000  6 Au 2.77-2.93, 2 Re 2.79, 2 Cd 3.10
Cd  0.7500  0.2500  0.5000  2 Cd 2.77, 4 Re 2.91, 4 Au 3.10

(18)
Density functional theory data (PBE-GGA) for a geometry-optimized CdReAu2 structure.

Summary:
DFT total energy = -0.335 Ry/atom
ΔE_f = 0.427 eV per atom
spin magnetization = 0.4 μB per formula unit

a = 4.1601 Å, b = 2.8043 Å, c = 6.6641 Å
α = 65.15°, β = 90.00°, γ = 90.00°
With the nearest neighbours (Å) after each atom.
Sites, in units of the cell vectors:
Re  0.5000  0.7500  0.7500  2 Re 2.80, 8 Au 2.88, 2 Cd 3.02
Au  0.0000  0.0161  0.9839  3 Au 2.80-2.83, 4 Re 2.88, 4 Cd 2.98
Au  0.0000  0.4839  0.5161  3 Au 2.80-2.83, 4 Re 2.88, 4 Cd 2.98
Cd  0.5000  0.2500  0.2500  2 Cd 2.80, 8 Au 2.98, 2 Re 3.02

(19)
Density functional theory data (PBE-GGA) for a geometry-optimized CdReAu structure.

Summary:
DFT total energy = -0.372 Ry/atom
ΔE_f = 0.480 eV per atom
offset from the most stable computed form = 71 meV per atom
spin magnetization = 0.0 μB per formula unit

a = 7.6365 Å, b = 7.4454 Å, c = 2.7830 Å
α = 83.26°, β = 75.52°, γ = 21.22°
With the nearest neighbours (Å) after each atom.
Sites, in units of the cell vectors:
Re  0.6654  0.6654  0.3346  4 Re 2.78, 2 Au 2.84, 2 Cd 2.89
Au  0.0024  0.0024  0.9976  4 Au 2.78, 2 Re 2.84, 2 Cd 2.93
Cd  0.3323  0.3323  0.6677  4 Cd 2.78, 2 Re 2.89, 2 Au 2.93

(20)
Density functional theory data (PBE-GGA) for a geometry-optimized CdReAu2 structure.

Summary:
DFT total energy = -0.326 Ry/atom
ΔE_f = 0.539 eV per atom
spin magnetization = 0.9 μB per formula unit

a = 2.7864 Å, b = 5.1129 Å, c = 5.0443 Å
α = 90.00°, β = 90.00°, γ = 90.00°
With the nearest neighbours (Å) after each atom.
Sites, in units of the cell vectors:
Re  0.0000  0.5000  0.5000  2 Re 2.79, 4 Au 2.88, 4 Cd 2.91
Au  0.0000  0.0000  0.0000  6 Au 2.79-2.91, 4 Cd 2.88
Au  0.5000  0.5000  0.0000  6 Au 2.79-2.91, 4 Re 2.88
Cd  0.5000  0.0000  0.5000  2 Cd 2.79, 4 Au 2.88, 4 Re 2.91